No. 1
Density functional theory data (GGA-PBE) for a relaxed structure of CsOs2Ru.

Values from the calculation:
N(E_F): 3.6 states/eV/f.u.
DFT formation energy: 7.86 eV per formula unit

Geometry as POSCAR:
```
CsOs2Ru
1.0
-2.0005 5.9259 4.0852
2.4255 -3.4371 6.1734
3.6786 2.7684 4.6160
Cs Ru Os
2 2 4
direct
0.0000 0.0000 0.0000 Cs
0.7500 0.2500 0.5000 Cs
0.5000 0.5000 0.0000 Ru
0.2500 0.7500 0.5000 Ru
0.5200 0.1250 0.2500 Os
0.2300 0.6250 0.2500 Os
0.3750 0.4800 0.7500 Os
0.8750 0.7700 0.7500 Os
```

=====

No. 2
Density functional theory data (GGA-PBE) for a relaxed structure of NdDy2ScTe4.

Values from the calculation:
N(E_F): 5.2 states/eV/f.u.
raw total energy: -5.360 eV per atom

Geometry as POSCAR:
```
NdDy2ScTe4
1.0
4.3049 0.0000 0.0000
0.0000 7.6100 0.1838
0.0000 -2.6079 7.0588
Nd Dy Sc Te
1 2 1 4
direct
0.5000 0.5000 0.0000 Nd
0.5000 0.0000 0.5000 Dy
0.0000 0.5000 0.5000 Dy
0.0000 0.0000 0.0000 Sc
0.5000 0.2369 0.2445 Te
0.5000 0.7631 0.7555 Te
0.0000 0.2376 0.7470 Te
0.0000 0.7624 0.2530 Te
```

=====

No. 3
Density functional theory data (GGA-PBE) for a relaxed structure of SrZrSe2.

Values from the calculation:
N(E_F): 0.3 states/eV/f.u.
energy above the lowest structure with this stoichiometry: 31.0 kJ/mol of atoms

Geometry as POSCAR:
```
SrZrSe2
1.0
0.0000 3.5967 3.5967
3.5967 0.0000 3.5967
3.5967 3.5967 0.0000
Sr Se Zr
1 2 1
direct
0.0000 0.0000 0.0000 Sr
0.2500 0.2500 0.2500 Se
0.7500 0.7500 0.7500 Se
0.5000 0.5000 0.5000 Zr
```

=====

No. 4
Density functional theory data (GGA-PBE) for a relaxed structure of CaRh4W.

Values from the calculation:
N(E_F): 6.7 states/eV/f.u.
DFT formation energy: 0.61 eV per formula unit

Geometry as POSCAR:
```
CaRh4W
1.0
4.9130 1.5856 0.5009
1.1460 3.9239 3.1926
2.5826 -0.9103 4.4050
Ca Rh W
1 4 1
direct
0.0000 0.0000 0.0000 Ca
0.3749 0.8753 0.3749 Rh
0.8753 0.3749 0.3749 Rh
0.3749 0.3749 0.8753 Rh
0.3749 0.3749 0.3749 Rh
0.7500 0.7500 0.7500 W
```

=====

No. 5
Density functional theory data (GGA-PBE) for a relaxed structure of ErLuCrCd.

Values from the calculation:
N(E_F): 2.2 states/eV/f.u.
DFT formation energy: 0.12 eV per formula unit

Geometry as POSCAR:
```
ErLuCrCd
1.0
5.1135 0.0000 0.0000
2.5567 4.4284 0.0000
2.5567 1.4761 4.1751
Cd Lu Cr Er
1 1 1 1
direct
0.7500 0.7500 0.7500 Cd
0.0000 0.0000 0.0000 Lu
0.2500 0.2500 0.2500 Cr
0.5000 0.5000 0.5000 Er
```

=====

No. 6
Density functional theory data (GGA-PBE) for a relaxed structure of YIClO2.

Values from the calculation:
N(E_F): 1.4 states/eV/f.u.
energy above the lowest structure with this stoichiometry: 119.4 kJ/mol of atoms

Geometry as POSCAR:
```
YIClO2
1.0
4.4730 0.0000 0.0000
0.0000 4.4730 0.0000
0.0000 0.0000 4.8570
I Y O Cl
1 1 2 1
direct
0.0000 0.0000 0.5000 I
0.5000 0.5000 0.5000 Y
0.0000 0.5000 0.0000 O
0.5000 0.0000 0.0000 O
0.0000 0.0000 0.0000 Cl
```

=====

No. 7
Density functional theory data (GGA-PBE) for a relaxed structure of AcLa2Nd5Y.

Values from the calculation:
N(E_F): 15.4 states/eV/f.u.
DFT formation energy: 1.23 eV per formula unit

Geometry as POSCAR:
```
AcLa2Nd5Y
1.0
-2.8830 -1.9095 -4.3976
-1.3058 -8.3147 8.0246
-8.7196 4.8527 3.6092
Ac La Nd Y
2 4 10 2
direct
0.6002 0.2003 0.0077 Ac
0.3998 0.7997 0.5077 Ac
0.8824 0.7648 0.7708 La
0.1183 0.2366 0.7449 La
0.1176 0.2352 0.2708 La
0.8817 0.7634 0.2449 La
0.3813 0.7627 0.0082 Nd
0.7223 0.4445 0.8139 Nd
0.5000 0.9999 0.7580 Nd
0.2785 0.5571 0.7037 Nd
0.0028 0.0056 0.5082 Nd
0.6187 0.2373 0.5082 Nd
0.2777 0.5555 0.3139 Nd
0.5000 0.0001 0.2580 Nd
0.7215 0.4429 0.2037 Nd
0.9972 0.9944 0.0082 Nd
0.7796 0.5593 0.5085 Y
0.2204 0.4407 0.0085 Y
```

=====

No. 8
Density functional theory data (GGA-PBE) for a relaxed structure of LaEuGaRh.

Values from the calculation:
N(E_F): 6.1 states/eV/f.u.
DFT formation energy: -1.93 eV per formula unit

Geometry as POSCAR:
```
LaEuGaRh
1.0
5.1633 0.0000 0.0000
2.5816 4.4715 0.0000
2.5816 1.4905 4.2158
Eu Rh Ga La
1 1 1 1
direct
0.5000 0.5000 0.5000 Eu
0.7500 0.7500 0.7500 Rh
0.2500 0.2500 0.2500 Ga
0.0000 0.0000 0.0000 La
```